(1)
Zn8CoCu2 after structural relaxation, computed with PBE-GGA.

Cell: 3.7218 6.0644 7.1053 Å, 106.07 105.18 90.00°
Last column: nearest neighbours and their distance in Å.
Sites, in units of the cell vectors:
Zn: 0.5943 0.4499 0.1885  3 Cu 2.63-2.64, 8 Zn 2.64-2.82, 1 Co 2.66
Zn: 0.6793 0.9089 0.3587  8 Zn 2.62-2.75, 1 Co 2.67, 3 Cu 2.68-2.69
Zn: 0.9558 0.2635 0.9116  9 Zn 2.62-2.78, 2 Co 2.63, 1 Cu 2.75
Zn: 0.1349 0.1797 0.2697  7 Zn 2.62-2.75, 2 Co 2.63, 3 Cu 2.65-2.71
Zn: 0.4057 0.5501 0.8115  3 Cu 2.63-2.64, 8 Zn 2.64-2.82, 1 Co 2.66
Zn: 0.0442 0.7365 0.0884  9 Zn 2.62-2.78, 2 Co 2.63, 1 Cu 2.75
Zn: 0.3207 0.0911 0.6413  8 Zn 2.62-2.75, 1 Co 2.67, 3 Cu 2.68-2.69
Zn: 0.8651 0.8203 0.7303  7 Zn 2.62-2.75, 2 Co 2.63, 3 Cu 2.65-2.71
Co: 0.5000 0.0000 0.0000  12 Zn 2.63-2.67
Cu: 0.7718 0.3620 0.5436  10 Zn 2.63-2.75, 2 Cu 2.68
Cu: 0.2282 0.6380 0.4564  10 Zn 2.63-2.75, 2 Cu 2.68

Properties
* VASP energy: -2.36 eV per atom
* total magnetization: 0.00 μB/f.u.
* V: 148.3 Å³ per cell
* space group: C2/m
* energy of formation: -0.045 eV per atom

(2)
ZnCo2Cu after structural relaxation, computed with PBE-GGA.

Cell: 4.1182 2.4818 4.7614 Å, 78.94 90.00 90.00°
Last column: nearest neighbours and their distance in Å.
Sites, in units of the cell vectors:
Co: 0.0000 0.0075 0.0020  4 Co 2.46-2.48, 2 Cu 2.50, 2 Zn 2.53
Co: 0.0000 0.4925 0.4980  4 Co 2.46-2.48, 2 Cu 2.50, 2 Zn 2.53
Cu: 0.5000 0.2500 0.2500  2 Zn 2.46, 2 Cu 2.48, 4 Co 2.50
Zn: 0.5000 0.7500 0.7500  2 Cu 2.46, 2 Zn 2.48, 4 Co 2.53

Properties
* VASP energy: -4.79 eV per atom
* total magnetization: 3.11 μB/f.u.
* V: 47.8 Å³ per cell
* space group: P2/m
* energy of formation: 0.110 eV per atom

> Look up the energy of formation of the second one.

0.110 eV per atom

> VASP energy of number 1 (Zn8CoCu2)?

-2.36 eV per atom

Copy entry 1 word for word.
Zn8CoCu2 after structural relaxation, computed with PBE-GGA.

Cell: 3.7218 6.0644 7.1053 Å, 106.07 105.18 90.00°
Last column: nearest neighbours and their distance in Å.
Sites, in units of the cell vectors:
Zn: 0.5943 0.4499 0.1885  3 Cu 2.63-2.64, 8 Zn 2.64-2.82, 1 Co 2.66
Zn: 0.6793 0.9089 0.3587  8 Zn 2.62-2.75, 1 Co 2.67, 3 Cu 2.68-2.69
Zn: 0.9558 0.2635 0.9116  9 Zn 2.62-2.78, 2 Co 2.63, 1 Cu 2.75
Zn: 0.1349 0.1797 0.2697  7 Zn 2.62-2.75, 2 Co 2.63, 3 Cu 2.65-2.71
Zn: 0.4057 0.5501 0.8115  3 Cu 2.63-2.64, 8 Zn 2.64-2.82, 1 Co 2.66
Zn: 0.0442 0.7365 0.0884  9 Zn 2.62-2.78, 2 Co 2.63, 1 Cu 2.75
Zn: 0.3207 0.0911 0.6413  8 Zn 2.62-2.75, 1 Co 2.67, 3 Cu 2.68-2.69
Zn: 0.8651 0.8203 0.7303  7 Zn 2.62-2.75, 2 Co 2.63, 3 Cu 2.65-2.71
Co: 0.5000 0.0000 0.0000  12 Zn 2.63-2.67
Cu: 0.7718 0.3620 0.5436  10 Zn 2.63-2.75, 2 Cu 2.68
Cu: 0.2282 0.6380 0.4564  10 Zn 2.63-2.75, 2 Cu 2.68

Properties
* VASP energy: -2.36 eV per atom
* total magnetization: 0.00 μB/f.u.
* V: 148.3 Å³ per cell
* space group: C2/m
* energy of formation: -0.045 eV per atom